Density functional theory data (PBE) for a relaxed ZnHg3S4 crystal.

Cell and atoms, written as extended XYZ:
```
8
Lattice="-5.6309 -0.1476 -1.5894 1.2869 -3.8678 -4.1999 -0.9444 -4.3902 3.7536" Properties=species:S:1:pos:R:3 pbc="T T T"
Zn 0.0000 0.0000 0.0000
Hg 0.1712 -4.1290 -0.2232
Hg -2.1720 -2.0077 -2.8947
Hg -3.2877 -2.2689 1.0821
S -1.0582 -6.3562 -0.7143
S -3.5469 -4.1033 -3.5517
S -4.7318 -4.3807 0.6719
S -1.2400 -1.9709 -0.4773
```

Values from the calculation:
**Uncorrected energy**: -21.0 eV per cell
**Energy relative to the elements, uncorrected**: -0.288 eV/atom
**Density**: 6.6 g cm⁻³

=====

Density functional theory data (PBE) for a relaxed CaLaV2 crystal.

Cell and atoms, written as extended XYZ:
```
4
Lattice="2.0311 3.6373 3.2577 -1.9592 0.5687 4.8792 2.8575 -1.5026 4.1887" Properties=species:S:1:pos:R:3 pbc="T T T"
Ca 0.0000 0.0000 0.0000
La 1.4647 1.3517 6.1628
V 0.7324 0.6758 3.0814
V 2.1971 2.0275 9.2442
```

Values from the calculation:
**Uncorrected energy**: -22.3 eV per cell
**Formation energy from the elements**: 2.89 eV/f.u.
**Offset from the most stable computed form**: 0 meV/atom
**Density**: 4.5 g cm⁻³

=====

Density functional theory data (PBE) for a relaxed K2AuCl crystal.

Cell and atoms, written as extended XYZ:
```
4
Lattice="4.4870 0.0000 0.0000 2.2435 3.8859 0.0000 2.2435 1.2953 8.1517" Properties=species:S:1:pos:R:3 pbc="T T T"
K 2.2435 1.2953 5.9980
K 2.2435 1.2953 2.1537
Au 6.7305 3.8859 8.1409
Cl 4.4870 2.5906 4.0866
```

Values from the calculation:
**Uncorrected energy**: -11.6 eV per cell
**Energy relative to the elements, uncorrected**: -1.072 eV/atom
**Offset from the most stable computed form**: 51 meV/atom
**Density**: 3.6 g cm⁻³

=====

Density functional theory data (PBE) for a relaxed AlP2ClF crystal.

Cell and atoms, written as extended XYZ:
```
5
Lattice="4.0949 0.0000 0.0000 0.0000 4.0949 0.0000 0.0000 0.0000 5.5644" Properties=species:S:1:pos:R:3 pbc="T T T"
P 0.0000 2.0475 0.0000
P 2.0475 0.0000 0.0000
F 0.0000 0.0000 0.0000
Al 2.0475 2.0475 2.7822
Cl 0.0000 0.0000 2.7822
```

Values from the calculation:
**Uncorrected energy**: -16.3 eV per cell
**Energy relative to the elements, uncorrected**: 0.389 eV/atom
**Offset from the most stable computed form**: 178 meV/atom
**Density**: 2.6 g cm⁻³

=====

Density functional theory data (PBE) for a relaxed MgInTe2N crystal.

Cell and atoms, written as extended XYZ:
```
5
Lattice="5.8922 0.0000 0.0000 0.0000 5.8922 0.0000 0.0000 0.0000 4.0596" Properties=species:S:1:pos:R:3 pbc="T T T"
N 0.0000 0.0000 2.0298
Mg 2.9461 2.9461 2.0298
Te 0.0000 2.9461 0.0000
Te 2.9461 0.0000 0.0000
In 0.0000 0.0000 0.0000
```

Values from the calculation:
**Uncorrected energy**: -15.8 eV per cell
**Energy relative to the elements, uncorrected**: 0.635 eV/atom
**Offset from the most stable computed form**: 165 meV/atom
**Density**: 4.8 g cm⁻³

=====

Density functional theory data (PBE) for a relaxed Tb2NdPd crystal.

Cell and atoms, written as extended XYZ:
```
4
Lattice="-1.3228 2.7970 2.3491 -1.1176 -0.8690 3.6176 7.8216 2.1767 5.0250" Properties=species:S:1:pos:R:3 pbc="T T T"
Tb 6.2167 1.8916 4.4607
Tb 0.8059 0.9303 2.5583
Nd 2.6578 2.0465 5.4843
Pd -1.6087 1.2886 3.9842
```

Values from the calculation:
**Uncorrected energy**: -20.5 eV per cell
**Formation energy from the elements**: -1.23 eV/f.u.
**Offset from the most stable computed form**: 139 meV/atom
**Density**: 7.8 g cm⁻³

=====

Density functional theory data (PBE) for a relaxed TlVPb2Br8 crystal.

Cell and atoms, written as extended XYZ:
```
12
Lattice="7.0548 0.0728 -0.0054 0.1182 6.6225 -0.0019 0.0050 0.0176 9.0247" Properties=species:S:1:pos:R:3 pbc="T T T"
Tl 0.0025 0.0088 4.5124
V 0.0000 0.0000 0.0000
Pb 3.5915 3.3589 6.8585
Pb 3.5863 3.3540 2.1589
Br 1.0693 5.0975 1.8167
Br 4.9915 5.2767 9.0158
Br 6.0990 1.5988 1.8083
Br 6.1086 1.6154 7.2008
Br 2.1864 1.4363 0.0017
Br 1.0789 5.1141 7.2092
Br 4.5265 4.9136 4.5061
Br 2.6514 1.7993 4.5114
```

Values from the calculation:
**Uncorrected energy**: -42.2 eV per cell
**Energy relative to the elements, uncorrected**: -0.828 eV/atom
**Density**: 5.2 g cm⁻³

=====

Density functional theory data (PBE) for a relaxed Ba3La3HoSe8 crystal.

Cell and atoms, written as extended XYZ:
```
15
Lattice="-2.9260 1.1912 8.1642 8.2679 -2.5272 -1.3614 -2.3638 8.5374 -2.0928" Properties=species:S:1:pos:R:3 pbc="T T T"
Ba 0.0000 0.0000 0.0000
Ba 4.1340 -1.2636 -0.6807
Ba 2.6710 -0.6680 3.4014
La -2.6449 4.8643 3.0357
La 1.4891 3.6007 2.3550
La 2.9521 3.0051 -1.7271
Ho -1.1819 4.2687 -1.0464
Se 2.8618 1.3345 0.8309
Se 0.1164 5.8669 3.8790
Se 1.5198 1.9988 4.9464
Se 1.4584 5.2025 -0.2364
Se -2.7827 3.3130 5.6543
Se 5.7609 3.8884 -0.9443
Se -1.2605 2.6933 1.4070
Se 4.2387 4.5081 3.3030
```

Values from the calculation:
**Uncorrected energy**: -82.9 eV per cell
**Energy relative to the elements, uncorrected**: -1.993 eV/atom
**Density**: 5.4 g cm⁻³